Record 1
VASP calculation (PBE-GGA) on a geometry-optimized ZnCuMoPt structure.

a = 4.354 Å, b = 4.354 Å, c = 4.354 Å
α = 60.00°, β = 60.00°, γ = 60.00°
Fractional positions:
Zn 0.000 0.000 0.000
Cu 0.250 0.250 0.250
Mo 0.500 0.500 0.500
Pt 0.750 0.750 0.750

Calculated values
relative energy among the computed polymorphs = 0 meV/atom

***

Record 2
VASP calculation (PBE-GGA) on a geometry-optimized PuCuMo structure.

a = 4.304 Å, b = 4.304 Å, c = 4.304 Å
α = 60.00°, β = 60.00°, γ = 60.00°
Fractional positions:
Pu 0.000 0.000 0.000
Cu 0.750 0.750 0.750
Mo 0.250 0.250 0.250

Calculated values
relative energy among the computed polymorphs = 602 meV/atom

***

Record 3
VASP calculation (PBE-GGA) on a geometry-optimized PuCuMo structure.

a = 4.389 Å, b = 4.389 Å, c = 4.389 Å
α = 60.00°, β = 60.00°, γ = 60.00°
Fractional positions:
Pu 0.000 0.000 0.000
Cu 0.750 0.750 0.750
Mo 0.500 0.500 0.500

Calculated values
relative energy among the computed polymorphs = 0 meV/atom

***

Record 4
VASP calculation (PBE-GGA) on a geometry-optimized RbCu3MoS4 structure.

a = 5.966 Å, b = 5.966 Å, c = 5.966 Å
α = 90.00°, β = 90.00°, γ = 90.00°
Fractional positions:
Rb 0.000 0.000 0.000
Cu 0.000 0.500 0.500
Cu 0.500 0.000 0.500
Cu 0.500 0.500 0.000
Mo 0.500 0.500 0.500
S 0.280 0.280 0.280
S 0.280 0.720 0.720
S 0.720 0.280 0.720
S 0.720 0.720 0.280

***

no.,total energy (eV for the cell shown),spin magnetization (μB per cell)
1,-21.81,0.62
2,-24.58,0.00
3,-26.38,3.62
4,-42.35,2.00